Below is crystalline Ta2FeI at its relaxed geometry, with properties calculated at the PBE level.

POSCAR file:
```
Ta2FeI
1.0
6.523 0.000 0.000
0.000 6.523 0.000
0.000 0.000 6.523
Ta Fe I
8 4 4
Cartesian
1.631 1.631 1.631 Ta
1.631 1.631 4.892 Ta
1.631 4.892 1.631 Ta
1.631 4.892 4.892 Ta
4.892 1.631 1.631 Ta
4.892 1.631 4.892 Ta
4.892 4.892 1.631 Ta
4.892 4.892 4.892 Ta
0.000 0.000 0.000 Fe
0.000 3.261 3.261 Fe
3.261 0.000 3.261 Fe
3.261 3.261 0.000 Fe
0.000 0.000 3.261 I
0.000 3.261 0.000 I
3.261 0.000 0.000 I
3.261 3.261 3.261 I
```

Summary:
- Energy: -120.5 eV for the cell shown
- Magnetization: 0.00 Bohr magnetons per cell
- Formation energy without anion corrections: 0.8957 eV/atom
- Space group: Fm-3m (225)